ErTmZnCd | the Alexandria database | PBE | relaxed; energy = -12.48 eV per cell; ΔE to the lowest computed polymorph = 0.07 eV/f.u.; space-group type = No. 216; calculated volume = 95.2 Å³ per cell
1.0
5.1250 0.0000 0.0000
2.5625 4.4384 0.0000
2.5625 1.4795 4.1845
Zn Cd Er Tm
1 1 1 1
direct
0.2500 0.2500 0.2500
0.7500 0.7500 0.7500
0.5000 0.5000 0.5000
0.0000 0.0000 0.0000

***

PrYSiGe | the Alexandria database | PBE | relaxed; energy = -24.51 eV per cell; space-group type = No. 38; calculated volume = 95.6 Å³ per cell
1.0
4.4124 0.0000 0.0000
0.0000 3.9741 0.0000
-2.2062 0.0000 5.4499
Si Y Ge Pr
1 1 1 1
direct
0.4201 0.0000 0.8403
0.8628 0.5000 0.7255
0.5760 0.5000 0.1521
0.1411 0.0000 0.2822

***

AlCdGa2S | the Alexandria database | PBE | relaxed; energy = -12.28 eV per cell; space-group type = No. 123; calculated volume = 131.2 Å³ per cell
1.0
-3.6949 3.0510 1.6821
0.2320 -2.2351 4.5634
3.4763 3.3916 1.4844
Ga S Al Cd
2 1 1 1
direct
0.5000 0.0000 0.0000
0.0000 0.0000 0.5000
0.5000 0.5000 0.5000
0.0000 0.5000 0.0000
0.0000 0.0000 0.0000

***

Os2AuSe | the Alexandria database | PBE | relaxed; energy = -26.39 eV per cell; space-group type = No. 166; calculated volume = 62.9 Å³ per cell
1.0
8.6213 -0.0121 -0.0071
8.1268 2.8779 -0.0071
8.1268 1.3906 2.5196
Os Au Se
2 1 1
direct
0.5080 0.5080 0.5080
0.9920 0.9920 0.9920
0.7500 0.7500 0.7500
0.2500 0.2500 0.2500

***

HIrI2 | the Alexandria database | PBE | relaxed; energy = -10.50 eV per cell; ΔE to the lowest computed polymorph = 1.99 eV/f.u.; space-group type = No. 225; calculated volume = 77.9 Å³ per cell
1.0
0.0000 3.3898 3.3898
3.3898 0.0000 3.3898
3.3898 3.3898 0.0000
I H Ir
2 1 1
direct
0.7500 0.7500 0.7500
0.2500 0.2500 0.2500
0.0000 0.0000 0.0000
0.5000 0.5000 0.5000

***

TbPr2Pa | the Alexandria database | PBE | relaxed; energy = -22.96 eV per cell; ΔE to the lowest computed polymorph = 0.00 eV/f.u.; space-group type = No. 123; calculated volume = 126.9 Å³ per cell
1.0
3.4650 0.0000 0.0000
0.0000 3.4650 0.0000
0.0000 0.0000 10.5664
Tb Pr Pa
1 2 1
direct
0.5000 0.5000 0.5000
0.0000 0.0000 0.7682
0.0000 0.0000 0.2318
0.5000 0.5000 0.0000

***

Na2SnSe | the Alexandria database | PBE | relaxed; energy = -23.10 eV per cell; ΔE to the lowest computed polymorph = 0.00 eV/f.u.; space-group type = No. 122; calculated volume = 220.6 Å³ per cell
1.0
-0.0963 -6.3841 -5.5999
7.7383 -2.3727 2.5718
2.5612 -6.2056 0.5907
Se Sn Na
2 2 4
direct
0.5000 0.5000 0.0000
0.2500 0.7500 0.5000
0.7500 0.2500 0.5000
0.0000 0.0000 0.0000
0.3750 0.4254 0.7500
0.1754 0.6250 0.2500
0.8750 0.8246 0.7500
0.5746 0.1250 0.2500